Record 1
# Ba8AgRh2 PBE-GGA relaxed
data_Ba8AgRh2
_chemical_formula_sum 'Ba8 Ag1 Rh2'
_symmetry_space_group_name_H-M 'P -1'
_symmetry_Int_Tables_number 2
_symmetry_space_group_name_Hall '-P 1'
_cell_length_a 7.547
_cell_length_b 9.484
_cell_length_c 9.497
_cell_angle_alpha 60.13
_cell_angle_beta 89.95
_cell_angle_gamma 89.95
loop_
_atom_site_label
_atom_site_fract_x
_atom_site_fract_y
_atom_site_fract_z
Ba1 0.228 0.166 0.165
Ba2 0.253 0.160 0.669
Ba3 0.253 0.671 0.670
Ba4 0.254 0.669 0.160
Ag1 0.500 0.500 0.500
Rh1 0.394 0.833 0.834
# DFT formation energy = -5 meV per atom
# energy = -3.00 eV/atom

Record 2
# Ba2AgRh PBE-GGA relaxed
data_Ba2AgRh
_chemical_formula_sum 'Ba4 Ag2 Rh2'
_symmetry_space_group_name_H-M 'A m m 2'
_symmetry_Int_Tables_number 38
_symmetry_space_group_name_Hall 'A 2 -2'
_cell_length_a 4.742
_cell_length_b 4.613
_cell_length_c 11.882
_cell_angle_alpha 90.00
_cell_angle_beta 90.00
_cell_angle_gamma 90.00
loop_
_atom_site_label
_atom_site_fract_x
_atom_site_fract_y
_atom_site_fract_z
Ba1 0.000 0.000 0.000
Ba2 0.500 0.000 0.280
Ag1 0.000 0.000 0.701
Rh1 0.500 0.000 0.576
# DFT formation energy = -182 meV per atom
# energy = -3.69 eV/atom

Total magnetic moment in μB per formula unit, matching the order above: 0.00; 0.00